1.
CsCuTe3Pd | PBE | relaxed

Calculated values
The energy relative to the lowest polymorph listed for this composition comes out at 12 meV per atom.

Lattice parameters (Å, degrees): 11.520 4.244 15.033 90.00 90.00 90.00
Atoms (fractional coordinates):
Te  0.768  0.000  0.782
Cs  0.726  0.000  0.493
Te  0.455  0.000  0.333
Cs  0.774  0.500  0.993
Te  0.955  0.000  0.167
Cs  0.274  0.500  0.507
Te  0.545  0.500  0.667
Te  0.528  0.000  0.110
Cu  0.231  0.000  0.313
Cs  0.226  0.000  0.007
Te  0.232  0.500  0.218
Te  0.028  0.000  0.390
Pd  0.983  0.500  0.278
Te  0.472  0.500  0.890
Te  0.045  0.500  0.833
Cu  0.769  0.500  0.687
Pd  0.017  0.000  0.722
Pd  0.483  0.500  0.222
Cu  0.731  0.000  0.187
Te  0.268  0.000  0.718
Te  0.732  0.500  0.282
Pd  0.517  0.000  0.778
Te  0.972  0.500  0.610
Cu  0.269  0.500  0.813


2.
CsCuPdW | PBE | relaxed

Calculated values
The energy relative to the lowest polymorph listed for this composition comes out at 121 meV per atom.

Lattice parameters (Å, degrees): 4.742 4.742 4.742 60.00 60.00 60.00
Atoms (fractional coordinates):
W  0.000  0.000  0.000
Pd  0.500  0.500  0.500
Cs  0.250  0.250  0.250
Cu  0.750  0.750  0.750


3.
CsCuPdW | PBE | relaxed

Calculated values
The energy relative to the lowest polymorph listed for this composition comes out at 0 meV per atom.

Lattice parameters (Å, degrees): 4.744 4.744 4.744 60.00 60.00 60.00
Atoms (fractional coordinates):
Pd  0.500  0.500  0.500
W  0.250  0.250  0.250
Cu  0.750  0.750  0.750
Cs  0.000  0.000  0.000


4.
CsCuPdW | PBE | relaxed

Calculated values
The energy relative to the lowest polymorph listed for this composition comes out at 32 meV per atom.

Lattice parameters (Å, degrees): 5.007 5.007 5.007 60.00 60.00 60.00
Atoms (fractional coordinates):
Cs  0.500  0.500  0.500
Cu  0.750  0.750  0.750
Pd  0.250  0.250  0.250
W  0.000  0.000  0.000


5.
CsPmCu | PBE | relaxed

Calculated values
The calculation puts the uncorrected energy at -2.3523 eV/atom.

Lattice parameters (Å, degrees): 5.306 5.306 5.306 60.00 60.00 60.00
Atoms (fractional coordinates):
Cu  0.000  0.000  0.000
Cs  0.250  0.250  0.250
Pm  0.750  0.750  0.750


6.
CsPm2CuS4 | PBE | relaxed

Calculated values
The calculation puts the uncorrected energy at -5.4529 eV/atom.

Lattice parameters (Å, degrees): 7.457 7.457 14.053 90.00 90.00 148.10
Atoms (fractional coordinates):
Cu  0.335  0.665  0.250
Pm  0.134  0.866  0.561
S  0.756  0.244  0.891
S  0.500  0.500  0.500
Cs  0.394  0.606  0.750
S  0.081  0.919  0.750
Cs  0.606  0.394  0.250
S  0.500  0.500  0.000
Pm  0.866  0.134  0.439
S  0.919  0.081  0.250
S  0.756  0.244  0.609
Cu  0.665  0.335  0.750
Pm  0.134  0.866  0.939
Pm  0.866  0.134  0.061
S  0.244  0.756  0.109
S  0.244  0.756  0.391


7.
CsPm2Cu3Se4S | PBE | relaxed

Calculated values
The calculation puts the uncorrected energy at -4.7454 eV/atom.

Lattice parameters (Å, degrees): 7.671 7.671 17.611 90.00 90.00 148.61
Atoms (fractional coordinates):
Cs  0.435  0.565  0.750
S  0.730  0.270  0.750
Cu  0.167  0.833  0.750
Cs  0.565  0.435  0.250
Se  0.943  0.057  0.113
Se  0.943  0.057  0.387
S  0.270  0.730  0.250
Cu  0.085  0.915  0.473
Se  0.664  0.336  0.070
Pm  0.307  0.693  0.406
Se  0.057  0.943  0.887
Pm  0.693  0.307  0.594
Cu  0.915  0.085  0.527
Se  0.057  0.943  0.613
Pm  0.693  0.307  0.906
Cu  0.085  0.915  0.027
Cu  0.915  0.085  0.973
Se  0.336  0.664  0.570
Cu  0.833  0.167  0.250
Se  0.664  0.336  0.430
Pm  0.307  0.693  0.094
Se  0.336  0.664  0.930


8.
CsPm2Cu3SeS4 | PBE | relaxed

Calculated values
The calculation puts the uncorrected energy at -4.9607 eV/atom.

Lattice parameters (Å, degrees): 7.380 7.380 17.515 90.00 90.00 147.97
Atoms (fractional coordinates):
S  0.666  0.334  0.931
Pm  0.310  0.690  0.912
Se  0.736  0.264  0.250
Cu  0.844  0.156  0.750
Se  0.264  0.736  0.750
Cu  0.915  0.085  0.035
S  0.058  0.942  0.104
S  0.942  0.058  0.604
S  0.058  0.942  0.396
Cs  0.559  0.441  0.750
S  0.942  0.058  0.896
Cs  0.441  0.559  0.250
Cu  0.085  0.915  0.965
Pm  0.690  0.310  0.412
Pm  0.310  0.690  0.588
S  0.334  0.666  0.431
Cu  0.156  0.844  0.250
S  0.666  0.334  0.569
S  0.334  0.666  0.069
Cu  0.085  0.915  0.535
Cu  0.915  0.085  0.465
Pm  0.690  0.310  0.088